1.
Below is crystalline TlSn4Se8 at its relaxed geometry, with properties calculated at the PBE level.

Lattice parameters (Å, degrees): 8.2059 8.2059 8.2059 60.00 60.00 60.00
Last column: nearest neighbours and their distance in Å.
Fractional positions:
Tl 0.7500 0.7500 0.7500  4 Se 2.75
Sn 0.9015 0.3662 0.3662  6 Se 2.79-2.89
Sn 0.3662 0.9015 0.3662  6 Se 2.79-2.89
Sn 0.3662 0.3662 0.9015  6 Se 2.79-2.89
Sn 0.3662 0.3662 0.3662  6 Se 2.79-2.89
Se 0.6210 0.1263 0.1263  3 Sn 2.79
Se 0.1263 0.6210 0.1263  3 Sn 2.79
Se 0.1263 0.1263 0.6210  3 Sn 2.79
Se 0.1263 0.1263 0.1263  3 Sn 2.79
Se 0.1601 0.6133 0.6133  1 Tl 2.75, 3 Sn 2.89
Se 0.6133 0.1601 0.6133  1 Tl 2.75, 3 Sn 2.89
Se 0.6133 0.6133 0.1601  1 Tl 2.75, 3 Sn 2.89
Se 0.6133 0.6133 0.6133  1 Tl 2.75, 3 Sn 2.89

- D(E_F): 8.011 states/eV/cell
- Excess energy over the best structure of this formula in the dataset: 1.11 eV per formula unit
- Uncorrected formation energy: -0.287 eV per atom
- SG: F-43m (216)

2.
Below is crystalline TlSn4Se7 at its relaxed geometry, with properties calculated at the PBE level.

Lattice parameters (Å, degrees): 6.5695 6.5149 17.8903 90.00 90.00 90.00
Last column: nearest neighbours and their distance in Å.
Fractional positions:
Tl 0.4865 0.7462 0.5000  7 Se 3.39-3.73
Tl 0.9865 0.2538 0.0000  7 Se 3.39-3.73
Sn 0.5986 0.6806 0.8930  4 Se 2.55-2.64
Sn 0.0413 0.7721 0.2495  4 Se 2.85-2.89
Sn 0.5413 0.2279 0.2505  4 Se 2.85-2.89
Sn 0.0986 0.3194 0.6070  4 Se 2.55-2.64
Sn 0.0986 0.3194 0.3930  4 Se 2.55-2.64
Sn 0.5986 0.6806 0.1070  4 Se 2.55-2.64
Sn 0.0413 0.7721 0.7505  4 Se 2.85-2.89
Sn 0.5413 0.2279 0.7495  4 Se 2.85-2.89
Se 0.9751 0.7653 0.0897  1 Sn 2.55
Se 0.4751 0.2347 0.4103  1 Sn 2.55
Se 0.5360 0.2964 0.9087  1 Sn 2.55
Se 0.0360 0.7036 0.5913  1 Sn 2.55
Se 0.0360 0.7036 0.4087  1 Sn 2.55
Se 0.5360 0.2964 0.0913  1 Sn 2.55
Se 0.4800 0.7954 0.7586  3 Sn 2.64-2.89
Se 0.9800 0.2046 0.7414  3 Sn 2.64-2.89
Se 0.9800 0.2046 0.2586  3 Sn 2.64-2.89
Se 0.4800 0.7954 0.2414  3 Sn 2.64-2.89
Se 0.4061 0.8671 0.0000  2 Sn 2.60
Se 0.9061 0.1329 0.5000  2 Sn 2.60
Se 0.9751 0.7653 0.9103  1 Sn 2.55
Se 0.4751 0.2347 0.5897  1 Sn 2.55

- D(E_F): 3.173 states/eV/cell
- Uncorrected formation energy: -0.313 eV per atom
- SG: Pmn2_1 (31)

3.
Below is crystalline Tl4SnSe5 at its relaxed geometry, with properties calculated at the PBE level.

Lattice parameters (Å, degrees): 6.4599 7.4364 7.4364 79.13 64.26 64.26
Last column: nearest neighbours and their distance in Å.
Fractional positions:
Tl 0.4132 0.3984 0.7830  6 Se 3.03-3.32
Tl 0.8116 0.7830 0.6016  6 Se 3.03-3.32
Tl 0.1962 0.2170 0.3984  6 Se 3.03-3.32
Tl 0.5946 0.6016 0.2170  6 Se 3.03-3.32
Sn 0.0550 0.0000 0.0000  5 Se 2.67-2.79
Se 0.8928 0.3738 0.8263  1 Sn 2.79, 2 Tl 3.03-3.05
Se 0.2666 0.8263 0.6262  1 Sn 2.79, 2 Tl 3.03-3.05
Se 0.7192 0.1737 0.3738  1 Sn 2.79, 2 Tl 3.03-3.05
Se 0.0930 0.6262 0.1737  1 Sn 2.79, 2 Tl 3.03-3.05
Se 0.4679 0.0000 0.0000  1 Sn 2.67

- D(E_F): 5.213 states/eV/cell
- Uncorrected formation energy: -0.307 eV per atom
- SG: I4 (79)